(1)
Crystalline HfCuIrPb at its relaxed geometry. Source: the Open Quantum Materials Database, functional PBE.

Cell lengths 4.635, 4.635, 4.635 Å; angles 60.00, 60.00, 60.00 degrees
Fractional coordinates of all 4 atoms:
1 Hf 0.500 0.500 0.500
2 Pb 0.250 0.250 0.250
3 Ir 0.000 0.000 0.000
4 Cu 0.750 0.750 0.750

The energy above the most stable polymorph in this dataset comes out at 0.263 eV/atom. As for the symmetry: F-43m.



(2)
Crystalline HfCuIrPb at its relaxed geometry. Source: the Open Quantum Materials Database, functional PBE.

Cell lengths 4.685, 4.685, 4.685 Å; angles 60.00, 60.00, 60.00 degrees
Fractional coordinates of all 4 atoms:
1 Pb 0.000 0.000 0.000
2 Ir 0.500 0.500 0.500
3 Hf 0.250 0.250 0.250
4 Cu 0.750 0.750 0.750

The energy above the most stable polymorph in this dataset comes out at 0.194 eV/atom. As for the symmetry: F-43m.



(3)
Crystalline HfCuIrPb at its relaxed geometry. Source: the Open Quantum Materials Database, functional PBE.

Cell lengths 4.654, 4.654, 4.654 Å; angles 60.00, 60.00, 60.00 degrees
Fractional coordinates of all 4 atoms:
1 Pb 0.500 0.500 0.500
2 Hf 0.000 0.000 0.000
3 Ir 0.250 0.250 0.250
4 Cu 0.750 0.750 0.750

The energy above the most stable polymorph in this dataset comes out at 0.000 eV/atom. As for the symmetry: F-43m.



(4)
Crystalline HfCuSnIr at its relaxed geometry. Source: the Open Quantum Materials Database, functional PBE.

Cell lengths 4.569, 4.569, 4.569 Å; angles 60.00, 60.00, 60.00 degrees
Fractional coordinates of all 4 atoms:
1 Ir 0.000 0.000 0.000
2 Cu 0.750 0.750 0.750
3 Hf 0.500 0.500 0.500
4 Sn 0.250 0.250 0.250

The energy above the most stable polymorph in this dataset comes out at 0.303 eV/atom. As for the symmetry: F-43m.



(5)
Crystalline HfCuSnIr at its relaxed geometry. Source: the Open Quantum Materials Database, functional PBE.

Cell lengths 4.585, 4.585, 4.585 Å; angles 60.00, 60.00, 60.00 degrees
Fractional coordinates of all 4 atoms:
1 Cu 0.750 0.750 0.750
2 Ir 0.250 0.250 0.250
3 Sn 0.500 0.500 0.500
4 Hf 0.000 0.000 0.000

The energy above the most stable polymorph in this dataset comes out at 0.000 eV/atom. As for the symmetry: F-43m.



(6)
Crystalline HfCuSnIr at its relaxed geometry. Source: the Open Quantum Materials Database, functional PBE.

Cell lengths 4.608, 4.608, 4.608 Å; angles 60.00, 60.00, 60.00 degrees
Fractional coordinates of all 4 atoms:
1 Sn 0.500 0.500 0.500
2 Ir 0.000 0.000 0.000
3 Hf 0.250 0.250 0.250
4 Cu 0.750 0.750 0.750

The energy above the most stable polymorph in this dataset comes out at 0.285 eV/atom. As for the symmetry: F-43m.



(7)
Crystalline HfZnCuIr at its relaxed geometry. Source: the Open Quantum Materials Database, functional PBE.

Cell lengths 4.452, 4.452, 4.452 Å; angles 60.00, 60.00, 60.00 degrees
Fractional coordinates of all 4 atoms:
1 Ir 0.500 0.500 0.500
2 Cu 0.750 0.750 0.750
3 Hf 0.250 0.250 0.250
4 Zn 0.000 0.000 0.000

The energy above the most stable polymorph in this dataset comes out at 0.149 eV/atom. The value obtained for the formation energy is -1.155 eV per formula unit. As for the symmetry: F-43m.



(8)
Crystalline HfZnCuIr at its relaxed geometry. Source: the Open Quantum Materials Database, functional PBE.

Cell lengths 4.439, 4.439, 4.439 Å; angles 60.00, 60.00, 60.00 degrees
Fractional coordinates of all 4 atoms:
1 Cu 0.750 0.750 0.750
2 Ir 0.250 0.250 0.250
3 Zn 0.000 0.000 0.000
4 Hf 0.500 0.500 0.500

The energy above the most stable polymorph in this dataset comes out at 0.000 eV/atom. The value obtained for the formation energy is -1.751 eV per formula unit. As for the symmetry: F-43m.